Version A
! CsKInPb (PBE-GGA, relaxed); values from VASP
&SYSTEM
  ibrav = 0, nat = 4, ntyp = 4
/
ATOMIC_SPECIES
Cs 132.91 Cs.upf
K 39.10 K.upf
In 114.82 In.upf
Pb 207.20 Pb.upf
CELL_PARAMETERS angstrom
0.000 4.262 4.262
4.262 0.000 4.262
4.262 4.262 0.000
ATOMIC_POSITIONS angstrom
Cs 0.000 0.000 0.000
K 6.393 6.393 6.393
In 2.131 2.131 2.131
Pb 4.262 4.262 4.262
! Crystal system: cubic

***

Version B
! CsKInPb (PBE-GGA, relaxed); values from VASP
&SYSTEM
  ibrav = 0, nat = 4, ntyp = 4
/
ATOMIC_SPECIES
Cs 132.91 Cs.upf
K 39.10 K.upf
In 114.82 In.upf
Pb 207.20 Pb.upf
CELL_PARAMETERS angstrom
2.575 1.487 9.265
-2.575 1.487 9.265
0.000 -2.974 9.265
ATOMIC_POSITIONS angstrom
Cs 0.000 0.000 0.000
K 0.000 0.000 22.606
In 0.000 0.000 16.019
Pb 0.000 0.000 6.095
! Crystal system: trigonal

***

Pick version B: it beats the second-best structure by 58 meV/atom.

***

Version A
! Cs2KRbIn (PBE-GGA, relaxed); values from VASP
&SYSTEM
  ibrav = 0, nat = 5, ntyp = 4
/
ATOMIC_SPECIES
Cs 132.91 Cs.upf
K 39.10 K.upf
Rb 85.47 Rb.upf
In 114.82 In.upf
CELL_PARAMETERS angstrom
7.582 0.000 0.000
0.000 7.582 0.000
0.000 0.000 7.420
ATOMIC_POSITIONS angstrom
Cs 0.000 3.791 0.000
Cs 3.791 0.000 0.000
K 0.000 0.000 3.710
Rb 3.791 3.791 3.710
In 3.791 3.791 0.000
! Crystal system: tetragonal

***

Version B
! Cs2KRbIn (PBE-GGA, relaxed); values from VASP
&SYSTEM
  ibrav = 0, nat = 5, ntyp = 4
/
ATOMIC_SPECIES
Cs 132.91 Cs.upf
K 39.10 K.upf
Rb 85.47 Rb.upf
In 114.82 In.upf
CELL_PARAMETERS angstrom
7.610 0.000 0.000
0.000 7.610 0.000
0.000 0.000 7.197
ATOMIC_POSITIONS angstrom
Cs 0.000 3.805 0.000
Cs 3.805 0.000 0.000
K 0.000 0.000 3.599
Rb 3.805 3.805 3.599
In 0.000 0.000 0.000
! Crystal system: tetragonal

***

Pick version B: it beats the second-best structure by 19 meV/atom.

***

Version A
! CsKRb2In (PBE-GGA, relaxed); values from VASP
&SYSTEM
  ibrav = 0, nat = 5, ntyp = 4
/
ATOMIC_SPECIES
Cs 132.91 Cs.upf
K 39.10 K.upf
Rb 85.47 Rb.upf
In 114.82 In.upf
CELL_PARAMETERS angstrom
7.379 0.000 0.000
0.000 7.379 0.000
0.000 0.000 7.461
ATOMIC_POSITIONS angstrom
Cs 0.000 0.000 0.000
K 3.689 3.689 0.000
Rb 0.000 3.689 3.730
Rb 3.689 0.000 3.730
In 0.000 0.000 3.730
! Crystal system: tetragonal

***

Version B
! CsKRb2In (PBE-GGA, relaxed); values from VASP
&SYSTEM
  ibrav = 0, nat = 5, ntyp = 4
/
ATOMIC_SPECIES
Cs 132.91 Cs.upf
K 39.10 K.upf
Rb 85.47 Rb.upf
In 114.82 In.upf
CELL_PARAMETERS angstrom
7.363 0.000 0.000
0.000 7.363 0.000
0.000 0.000 7.130
ATOMIC_POSITIONS angstrom
Cs 0.000 0.000 0.000
K 3.681 3.681 0.000
Rb 0.000 3.681 3.565
Rb 3.681 0.000 3.565
In 3.681 3.681 3.565
! Crystal system: tetragonal

***

Pick version B: it beats the second-best structure by 47 meV/atom.

***

Version A
! CsK2ZnIn (PBE-GGA, relaxed); values from VASP
&SYSTEM
  ibrav = 0, nat = 5, ntyp = 4
/
ATOMIC_SPECIES
Cs 132.91 Cs.upf
K 39.10 K.upf
Zn 65.41 Zn.upf
In 114.82 In.upf
CELL_PARAMETERS angstrom
6.942 0.000 0.000
0.000 6.942 0.000
0.000 0.000 5.521
ATOMIC_POSITIONS angstrom
Cs 0.000 0.000 0.000
K 0.000 3.471 2.761
K 3.471 0.000 2.761
Zn 3.471 3.471 0.000
In 3.471 3.471 2.761
! Crystal system: tetragonal

***

Version B
! CsK2ZnIn (PBE-GGA, relaxed); values from VASP
&SYSTEM
  ibrav = 0, nat = 5, ntyp = 4
/
ATOMIC_SPECIES
Cs 132.91 Cs.upf
K 39.10 K.upf
Zn 65.41 Zn.upf
In 114.82 In.upf
CELL_PARAMETERS angstrom
6.710 0.000 0.000
0.000 6.710 0.000
0.000 0.000 5.455
ATOMIC_POSITIONS angstrom
Cs 0.000 0.000 0.000
K 0.000 3.355 2.727
K 3.355 0.000 2.727
Zn 3.355 3.355 2.727
In 3.355 3.355 0.000
! Crystal system: tetragonal

***

Pick version B: it beats the second-best structure by 35 meV/atom.

***

Version A
! CsLa2In2 (PBE-GGA, relaxed); values from VASP
&SYSTEM
  ibrav = 0, nat = 10, ntyp = 3
/
ATOMIC_SPECIES
Cs 132.91 Cs.upf
La 138.91 La.upf
In 114.82 In.upf
CELL_PARAMETERS angstrom
9.824 0.000 0.000
0.000 9.824 0.000
0.000 0.000 3.631
ATOMIC_POSITIONS angstrom
Cs 0.000 0.000 0.000
Cs 4.912 4.912 0.000
La 1.612 3.300 0.000
La 3.300 8.212 0.000
La 6.525 1.612 0.000
La 8.212 6.525 0.000
In 1.257 6.169 1.816
In 3.656 1.257 1.816
In 6.169 8.568 1.816
In 8.568 3.656 1.816
! Crystal system: tetragonal

***

Version B
! CsLa2In2 (PBE-GGA, relaxed); values from VASP
&SYSTEM
  ibrav = 0, nat = 10, ntyp = 3
/
ATOMIC_SPECIES
Cs 132.91 Cs.upf
La 138.91 La.upf
In 114.82 In.upf
CELL_PARAMETERS angstrom
10.359 0.000 0.000
0.000 10.359 0.000
0.000 0.000 3.452
ATOMIC_POSITIONS angstrom
Cs 0.000 0.000 0.000
Cs 5.180 5.180 0.000
La 1.331 3.848 1.726
La 3.848 9.028 1.726
La 6.511 1.331 1.726
La 9.028 6.511 1.726
In 1.694 6.873 0.000
In 3.486 1.694 0.000
In 6.873 8.666 0.000
In 8.666 3.486 0.000
! Crystal system: tetragonal

***

Pick version A: it beats the second-best structure by 24 meV/atom.

***

Version A
! CsLi3In (PBE-GGA, relaxed); values from VASP
&SYSTEM
  ibrav = 0, nat = 5, ntyp = 3
/
ATOMIC_SPECIES
Cs 132.91 Cs.upf
Li 6.94 Li.upf
In 114.82 In.upf
CELL_PARAMETERS angstrom
5.593 0.000 0.000
0.000 5.593 0.000
0.000 0.000 5.593
ATOMIC_POSITIONS angstrom
Cs 0.000 0.000 0.000
Li 0.000 2.796 2.796
Li 2.796 0.000 2.796
Li 2.796 2.796 0.000
In 2.796 2.796 2.796
! Crystal system: cubic

***

Version B
! CsLi3In (PBE-GGA, relaxed); values from VASP
&SYSTEM
  ibrav = 0, nat = 5, ntyp = 3
/
ATOMIC_SPECIES
Cs 132.91 Cs.upf
Li 6.94 Li.upf
In 114.82 In.upf
CELL_PARAMETERS angstrom
5.483 0.000 0.000
0.000 5.483 0.000
0.000 0.000 5.483
ATOMIC_POSITIONS angstrom
Cs 0.000 0.000 0.000
Li 0.000 0.000 2.742
Li 0.000 2.742 0.000
Li 2.742 0.000 0.000
In 2.742 2.742 2.742
! Crystal system: cubic

***

Pick version A: it beats the second-best structure by 785 meV/atom.

***

Version A
! CsLi2In2 (PBE-GGA, relaxed); values from VASP
&SYSTEM
  ibrav = 0, nat = 5, ntyp = 3
/
ATOMIC_SPECIES
Cs 132.91 Cs.upf
Li 6.94 Li.upf
In 114.82 In.upf
CELL_PARAMETERS angstrom
-2.729 2.729 5.358
2.729 -2.729 5.358
2.729 2.729 -5.358
ATOMIC_POSITIONS angstrom
Cs 0.000 0.000 0.000
Li 2.729 0.000 2.679
Li 0.000 2.729 2.679
In 0.000 0.000 3.828
In 0.000 0.000 6.888
! Crystal system: tetragonal

***

Version B
! CsLi2In2 (PBE-GGA, relaxed); values from VASP
&SYSTEM
  ibrav = 0, nat = 10, ntyp = 3
/
ATOMIC_SPECIES
Cs 132.91 Cs.upf
Li 6.94 Li.upf
In 114.82 In.upf
CELL_PARAMETERS angstrom
9.131 0.000 0.000
0.000 9.131 0.000
0.000 0.000 3.417
ATOMIC_POSITIONS angstrom
Cs 0.000 0.000 0.000
Cs 4.565 4.565 0.000
Li 1.495 3.070 0.000
Li 3.070 7.635 0.000
Li 6.060 1.495 0.000
Li 7.635 6.060 0.000
In 1.067 5.632 1.709
In 3.498 1.067 1.709
In 5.632 8.064 1.709
In 8.064 3.498 1.709
! Crystal system: tetragonal

***

Pick version B: it beats the second-best structure by 39 meV/atom.

***

Version A
! CsMg2In2 (PBE-GGA, relaxed); values from VASP
&SYSTEM
  ibrav = 0, nat = 10, ntyp = 3
/
ATOMIC_SPECIES
Cs 132.91 Cs.upf
Mg 24.30 Mg.upf
In 114.82 In.upf
CELL_PARAMETERS angstrom
9.616 0.000 0.000
0.000 9.616 0.000
0.000 0.000 3.289
ATOMIC_POSITIONS angstrom
Cs 0.000 0.000 0.000
Cs 4.808 4.808 0.000
Mg 1.230 3.578 0.000
Mg 3.578 8.386 0.000
Mg 6.039 1.230 0.000
Mg 8.386 6.039 0.000
In 1.489 6.297 1.645
In 3.319 1.489 1.645
In 6.297 8.128 1.645
In 8.128 3.319 1.645
! Crystal system: tetragonal

***

Version B
! CsMg2In2 (PBE-GGA, relaxed); values from VASP
&SYSTEM
  ibrav = 0, nat = 10, ntyp = 3
/
ATOMIC_SPECIES
Cs 132.91 Cs.upf
Mg 24.30 Mg.upf
In 114.82 In.upf
CELL_PARAMETERS angstrom
9.711 0.000 0.000
0.000 9.711 0.000
0.000 0.000 3.291
ATOMIC_POSITIONS angstrom
Cs 0.000 0.000 0.000
Cs 4.855 4.855 0.000
Mg 1.340 3.516 1.645
Mg 3.516 8.371 1.645
Mg 6.195 1.340 1.645
Mg 8.371 6.195 1.645
In 1.441 6.297 0.000
In 3.414 1.441 0.000
In 6.297 8.270 0.000
In 8.270 3.414 0.000
! Crystal system: tetragonal

***

Pick version A: it beats the second-best structure by 27 meV/atom.

***

Version A
! CsIn3N (PBE-GGA, relaxed); values from VASP
&SYSTEM
  ibrav = 0, nat = 5, ntyp = 3
/
ATOMIC_SPECIES
Cs 132.91 Cs.upf
In 114.82 In.upf
N 14.01 N.upf
CELL_PARAMETERS angstrom
5.278 0.000 0.000
0.000 5.278 0.000
0.000 0.000 5.278
ATOMIC_POSITIONS angstrom
Cs 0.000 0.000 0.000
In 0.000 2.639 2.639
In 2.639 0.000 2.639
In 2.639 2.639 0.000
N 2.639 2.639 2.639
! Crystal system: cubic

***

Version B
! CsIn3N (PBE-GGA, relaxed); values from VASP
&SYSTEM
  ibrav = 0, nat = 5, ntyp = 3
/
ATOMIC_SPECIES
Cs 132.91 Cs.upf
In 114.82 In.upf
N 14.01 N.upf
CELL_PARAMETERS angstrom
6.615 0.000 0.000
0.000 6.615 0.000
0.000 0.000 6.615
ATOMIC_POSITIONS angstrom
Cs 0.000 0.000 0.000
In 0.000 0.000 3.308
In 0.000 3.308 0.000
In 3.308 0.000 0.000
N 3.308 3.308 3.308
! Crystal system: cubic

***

Pick version A: it beats the second-best structure by 1515 meV/atom.

***

Version A
! CsInSeN2 (PBE-GGA, relaxed); values from VASP
&SYSTEM
  ibrav = 0, nat = 5, ntyp = 4
/
ATOMIC_SPECIES
Cs 132.91 Cs.upf
In 114.82 In.upf
Se 78.96 Se.upf
N 14.01 N.upf
CELL_PARAMETERS angstrom
4.768 0.000 0.000
0.000 4.768 0.000
0.000 0.000 5.477
ATOMIC_POSITIONS angstrom
Cs 0.000 0.000 0.000
In 2.384 2.384 2.739
Se 2.384 2.384 0.000
N 0.000 2.384 2.739
N 2.384 0.000 2.739
! Crystal system: tetragonal

***

Version B
! CsInSeN2 (PBE-GGA, relaxed); values from VASP
&SYSTEM
  ibrav = 0, nat = 5, ntyp = 4
/
ATOMIC_SPECIES
Cs 132.91 Cs.upf
In 114.82 In.upf
Se 78.96 Se.upf
N 14.01 N.upf
CELL_PARAMETERS angstrom
4.904 0.000 0.000
0.000 4.904 0.000
0.000 0.000 7.489
ATOMIC_POSITIONS angstrom
Cs 0.000 0.000 0.000
In 2.452 2.452 3.745
Se 0.000 0.000 3.745
N 0.000 2.452 0.000
N 2.452 0.000 0.000
! Crystal system: tetragonal

***

Pick version A: it beats the second-best structure by 1013 meV/atom.

***

Version A
! CsInTeN2 (PBE-GGA, relaxed); values from VASP
&SYSTEM
  ibrav = 0, nat = 5, ntyp = 4
/
ATOMIC_SPECIES
Cs 132.91 Cs.upf
In 114.82 In.upf
Te 127.60 Te.upf
N 14.01 N.upf
CELL_PARAMETERS angstrom
4.917 0.000 0.000
0.000 4.917 0.000
0.000 0.000 5.841
ATOMIC_POSITIONS angstrom
Cs 0.000 0.000 0.000
In 2.459 2.459 2.920
Te 2.459 2.459 0.000
N 0.000 2.459 2.920
N 2.459 0.000 2.920
! Crystal system: tetragonal

***

Version B
! CsInTeN2 (PBE-GGA, relaxed); values from VASP
&SYSTEM
  ibrav = 0, nat = 5, ntyp = 4
/
ATOMIC_SPECIES
Cs 132.91 Cs.upf
In 114.82 In.upf
Te 127.60 Te.upf
N 14.01 N.upf
CELL_PARAMETERS angstrom
4.523 0.000 0.000
0.000 4.523 0.000
0.000 0.000 7.732
ATOMIC_POSITIONS angstrom
Cs 0.000 0.000 0.000
In 2.261 2.261 3.866
Te 0.000 0.000 3.866
N 0.000 2.261 0.000
N 2.261 0.000 0.000
! Crystal system: tetragonal

***

Pick version A: it beats the second-best structure by 811 meV/atom.

***

Version A
! Cs2NaIn2 (PBE-GGA, relaxed); values from VASP
&SYSTEM
  ibrav = 0, nat = 10, ntyp = 3
/
ATOMIC_SPECIES
Cs 132.91 Cs.upf
Na 22.99 Na.upf
In 114.82 In.upf
CELL_PARAMETERS angstrom
11.668 0.000 0.000
0.000 11.668 0.000
0.000 0.000 3.779
ATOMIC_POSITIONS angstrom
Cs 2.317 3.517 0.000
Cs 3.517 9.352 0.000
Cs 8.151 2.317 0.000
Cs 9.352 8.151 0.000
Na 0.000 0.000 0.000
Na 5.834 5.834 0.000
In 1.040 6.874 1.889
In 4.794 1.040 1.889
In 6.874 10.628 1.889
In 10.628 4.794 1.889
! Crystal system: tetragonal

***

Version B
! Cs2NaIn2 (PBE-GGA, relaxed); values from VASP
&SYSTEM
  ibrav = 0, nat = 10, ntyp = 3
/
ATOMIC_SPECIES
Cs 132.91 Cs.upf
Na 22.99 Na.upf
In 114.82 In.upf
CELL_PARAMETERS angstrom
8.639 0.000 0.000
0.000 8.639 0.000
0.000 0.000 6.533
ATOMIC_POSITIONS angstrom
Cs 1.591 2.729 0.000
Cs 2.729 7.048 0.000
Cs 5.911 1.591 0.000
Cs 7.048 5.911 0.000
Na 0.000 0.000 3.266
Na 4.320 4.320 3.266
In 1.017 5.337 3.266
In 3.302 1.017 3.266
In 5.337 7.622 3.266
In 7.622 3.302 3.266
! Crystal system: tetragonal

***

Pick version B: it beats the second-best structure by 123 meV/atom.

***

Version A
! CsNa2InPd (PBE-GGA, relaxed); values from VASP
&SYSTEM
  ibrav = 0, nat = 5, ntyp = 4
/
ATOMIC_SPECIES
Cs 132.91 Cs.upf
Na 22.99 Na.upf
In 114.82 In.upf
Pd 106.42 Pd.upf
CELL_PARAMETERS angstrom
5.811 0.000 0.000
0.000 5.811 0.000
0.000 0.000 5.255
ATOMIC_POSITIONS angstrom
Cs 0.000 0.000 0.000
Na 0.000 2.906 2.628
Na 2.906 0.000 2.628
In 2.906 2.906 0.000
Pd 2.906 2.906 2.628
! Crystal system: tetragonal

***

Version B
! CsNa2InPd (PBE-GGA, relaxed); values from VASP
&SYSTEM
  ibrav = 0, nat = 5, ntyp = 4
/
ATOMIC_SPECIES
Cs 132.91 Cs.upf
Na 22.99 Na.upf
In 114.82 In.upf
Pd 106.42 Pd.upf
CELL_PARAMETERS angstrom
5.848 0.000 0.000
0.000 5.848 0.000
0.000 0.000 5.222
ATOMIC_POSITIONS angstrom
Cs 0.000 0.000 0.000
Na 0.000 2.924 2.611
Na 2.924 0.000 2.611
In 2.924 2.924 2.611
Pd 2.924 2.924 0.000
! Crystal system: tetragonal

***

Pick version A: it beats the second-best structure by 178 meV/atom.